Material: Sm12In6Ga
Method: DFT, PBE
State: optimized geometry

The structure in POSCAR format:
```
Sm12In6Ga
1.0
-3.1628 -3.4525 -6.8587
7.7526 -1.7657 -2.3968
-0.5977 -7.1578 4.1681
Sm In Ga
12 6 1
Direct
0.8049 0.5417 0.4406
0.4406 0.8049 0.5417
0.5417 0.4406 0.8049
0.1951 0.4583 0.5594
0.5594 0.1951 0.4583
0.4583 0.5594 0.1951
0.0130 0.1198 0.3494
0.8802 0.6506 0.9870
0.6506 0.9870 0.8802
0.9870 0.8802 0.6506
0.1198 0.3494 0.0130
0.3494 0.0130 0.1198
0.7064 0.8746 0.2646
0.7354 0.2936 0.1254
0.1254 0.7354 0.2936
0.2936 0.1254 0.7354
0.2646 0.7064 0.8746
0.8746 0.2646 0.7064
0.0000 0.0000 0.0000
```

Values from the calculation:
VASP energy	-4.27	eV per atom
SG	R-3 (148)